No. 1
# Tb6Si2Te3Se (GGA-PBE, optimized geometry)
data_Tb6Si2Te3Se
_chemical_formula_sum 'Tb12 Si4 Te6 Se2'
_cell_length_a 18.7251
_cell_length_b 4.2192
_cell_length_c 8.6234
_cell_angle_alpha 90.00
_cell_angle_beta 104.80
_cell_angle_gamma 90.00
_space_group_name_H-M_alt 'C 1 2/m 1'
_space_group_IT_number 12
_space_group_name_Hall '-C 2y'
loop_
_atom_site_label
_atom_site_type_symbol
_atom_site_fract_x
_atom_site_fract_y
_atom_site_fract_z
_atom_site_occupancy
Tb1 Tb 0.0117 0.0000 0.2427 1
Tb2 Tb 0.1650 0.5000 0.1082 1
Tb3 Tb 0.1737 0.5000 0.5656 1
Si1 Si 0.1669 0.0000 0.3325 1
Te1 Te 0.0000 0.5000 0.5000 1
Te2 Te 0.1632 0.0000 0.8342 1
Se1 Se 0.0000 0.5000 0.0000 1
# N(E_F)	8.8	states/eV per cell
# formation energy without anion corrections	-1.304	eV per atom
# E_tot	-5.599	eV/atom

***

No. 2
# TbThSiSe (GGA-PBE, optimized geometry)
data_TbThSiSe
_chemical_formula_sum 'Tb3 Th3 Si3 Se3'
_cell_length_a 4.2019
_cell_length_b 4.2019
_cell_length_c 20.5320
_cell_angle_alpha 90.00
_cell_angle_beta 90.00
_cell_angle_gamma 120.00
_space_group_name_H-M_alt 'R 3 m'
_space_group_IT_number 160
_space_group_name_Hall 'R 3 -2"'
loop_
_atom_site_label
_atom_site_type_symbol
_atom_site_fract_x
_atom_site_fract_y
_atom_site_fract_z
_atom_site_occupancy
Tb1 Tb 0.0000 0.0000 0.0000 1
Th1 Th 0.0000 0.0000 0.4898 1
Si1 Si 0.0000 0.0000 0.7434 1
Se1 Se 0.0000 0.0000 0.2476 1
# N(E_F)	5.8	states/eV per cell
# formation energy without anion corrections	-1.245	eV per atom
# E_tot	-6.485	eV/atom

***

No. 3
# Tb8Tl4SiSe3 (GGA-PBE, optimized geometry)
data_Tb8Tl4SiSe3
_chemical_formula_sum 'Tb16 Tl8 Si2 Se6'
_cell_length_a 13.8749
_cell_length_b 7.9835
_cell_length_c 9.1827
_cell_angle_alpha 90.00
_cell_angle_beta 120.38
_cell_angle_gamma 90.00
_space_group_name_H-M_alt 'C 1 2/m 1'
_space_group_IT_number 12
_space_group_name_Hall '-C 2y'
loop_
_atom_site_label
_atom_site_type_symbol
_atom_site_fract_x
_atom_site_fract_y
_atom_site_fract_z
_atom_site_occupancy
Tb1 Tb 0.0098 0.2440 0.2855 1
Tb2 Tb 0.2343 0.0000 0.7146 1
Tb3 Tb 0.2405 0.5000 0.7215 1
Tl1 Tl 0.0000 0.0000 0.0000 1
Tl2 Tl 0.0000 0.5000 0.0000 1
Tl3 Tl 0.2500 0.2500 0.0000 1
Si1 Si 0.0000 0.0000 0.5000 1
Se1 Se 0.0000 0.5000 0.5000 1
Se2 Se 0.2500 0.2500 0.5000 1
# N(E_F)	16.8	states/eV per cell
# formation energy without anion corrections	-0.939	eV per atom
# E_tot	-4.838	eV/atom